1.
A relaxed DyErPb crystal, computed with GGA-PBE.

a = 4.592 Å, b = 4.592 Å, c = 16.756 Å
α = 90.00°, β = 90.00°, γ = 90.00°
Fractional coordinates of all 12 atoms:
Dy 0.000 0.000 0.174
Dy 0.000 0.000 0.826
Dy 0.500 0.500 0.326
Dy 0.500 0.500 0.674
Er 0.000 0.500 0.000
Er 0.000 0.500 0.500
Er 0.500 0.000 0.000
Er 0.500 0.000 0.500
Pb 0.000 0.000 0.362
Pb 0.000 0.000 0.638
Pb 0.500 0.500 0.138
Pb 0.500 0.500 0.862

- Crystal system: tetragonal
- Calculated total energy: -56.43 eV/cell
- Formation energy from the elements: -0.411 eV/atom
- ρ: 10.09 g cm⁻³
- DOS(E_F): 14.83 states/eV per cell

2.
A relaxed BaSn3Ru crystal, computed with GGA-PBE.

a = 6.033 Å, b = 6.033 Å, c = 6.033 Å
α = 90.00°, β = 90.00°, γ = 90.00°
Fractional coordinates of all 5 atoms:
Ba 0.000 0.000 0.000
Sn 0.000 0.000 0.500
Sn 0.000 0.500 0.000
Sn 0.500 0.000 0.000
Ru 0.500 0.500 0.500

- Crystal system: cubic
- Calculated total energy: -13.70 eV/cell
- Formation energy from the elements: 1.902 eV/atom
- ρ: 4.50 g cm⁻³
- DOS(E_F): 18.23 states/eV per cell

3.
A relaxed Ce12Ir6Pt crystal, computed with GGA-PBE.

a = 8.185 Å, b = 8.185 Å, c = 8.185 Å
α = 97.87°, β = 97.87°, γ = 97.87°
Fractional coordinates of all 19 atoms:
Ce 0.042 0.661 0.936
Ce 0.064 0.958 0.339
Ce 0.182 0.419 0.582
Ce 0.339 0.064 0.958
Ce 0.418 0.818 0.581
Ce 0.419 0.582 0.182
Ce 0.581 0.418 0.818
Ce 0.582 0.182 0.419
Ce 0.661 0.936 0.042
Ce 0.818 0.581 0.418
Ce 0.936 0.042 0.661
Ce 0.958 0.339 0.064
Ir 0.131 0.622 0.315
Ir 0.315 0.131 0.622
Ir 0.378 0.685 0.869
Ir 0.622 0.315 0.131
Ir 0.685 0.869 0.378
Ir 0.869 0.378 0.685
Pt 0.000 0.000 0.000

- Crystal system: trigonal
- Calculated total energy: -140.34 eV/cell
- Formation energy from the elements: -0.522 eV/atom
- ρ: 9.47 g cm⁻³
- DOS(E_F): 59.39 states/eV per cell

4.
A relaxed Pr2HoErAs4 crystal, computed with GGA-PBE.

a = 7.269 Å, b = 4.205 Å, c = 7.278 Å
α = 90.00°, β = 109.49°, γ = 90.00°
Fractional coordinates of all 8 atoms:
Pr 0.000 0.000 0.000
Pr 0.000 0.500 0.500
Ho 0.500 0.000 0.500
Er 0.500 0.500 0.000
As 0.263 0.000 0.755
As 0.263 0.500 0.254
As 0.737 0.000 0.245
As 0.737 0.500 0.746

- Crystal system: monoclinic
- Calculated total energy: -49.31 eV/cell
- Formation energy from the elements: -1.502 eV/atom
- ρ: 7.24 g cm⁻³
- DOS(E_F): 0.85 states/eV per cell